Entry 1:
# Nd3Cd7 GGA-PBE optimized geometry
data_Nd3Cd7
_cell_length_a 16.7349
_cell_length_b 4.9828
_cell_length_c 6.6379
_cell_angle_alpha 90.00
_cell_angle_beta 110.44
_cell_angle_gamma 90.00
_symmetry_space_group_name_H-M 'C 1 2/m 1'
_symmetry_Int_Tables_number 12
_symmetry_space_group_name_Hall '-C 2y'
loop_
_atom_site_label
_atom_site_type_symbol
_atom_site_fract_x
_atom_site_fract_y
_atom_site_fract_z
Nd1 Nd 0.0000 0.0000 0.0000
Nd2 Nd 0.2076 0.0000 0.6370
Cd1 Cd 0.0000 0.0000 0.5000
Cd2 Cd 0.0847 0.5000 0.3439
Cd3 Cd 0.1107 0.5000 0.8517
Cd4 Cd 0.1970 0.0000 0.1074
# Formation energy, eV per atom: -0.285
# Total magnetization, μB per formula unit: 0.000



Entry 2:
# NdCd4 GGA-PBE optimized geometry
data_NdCd4
_cell_length_a 10.0385
_cell_length_b 10.0385
_cell_length_c 10.0385
_cell_angle_alpha 90.00
_cell_angle_beta 90.00
_cell_angle_gamma 90.00
_symmetry_space_group_name_H-M 'I -4 3 m'
_symmetry_Int_Tables_number 217
_symmetry_space_group_name_Hall 'I -4 2 3'
loop_
_atom_site_label
_atom_site_type_symbol
_atom_site_fract_x
_atom_site_fract_y
_atom_site_fract_z
Nd1 Nd 0.2134 0.2134 0.2134
Cd1 Cd 0.0000 0.0000 0.3483
Cd2 Cd 0.0000 0.2500 0.5000
Cd3 Cd 0.1073 0.1073 0.8927
# Formation energy, eV per atom: -0.156
# Total magnetization, μB per formula unit: 0.000



Q: What is the formula in the second record?
A: NdCd4



Q: Which formula does entry 1 have?
A: Nd3Cd7



Q: Which formula does entry 2 have?
A: NdCd4